<one>
A relaxed LiErS2O8 crystal, computed with GGA-PBE.

- density (g/cm3) = 3.629
- DOS(E_F) (states/eV/cell) = 0.00

extended XYZ file:
```
24
Lattice="-3.438 -0.008 -6.691 5.424 -4.409 -2.782 -3.085 -4.799 1.591" Properties=species:S:1:pos:R:3 pbc="T T T"
O -1.764 -4.922 0.140
O -1.480 -2.900 -4.238
O -0.809 -2.112 -6.511
S 2.386 -4.395 -3.118
Li -4.033 -3.603 -2.152
O 0.836 -6.715 -6.180
O -2.336 -3.123 -1.496
O -1.278 -5.806 -5.321
O -1.402 -7.507 -6.956
S -0.597 -7.025 -5.811
O 3.705 -4.801 -3.654
Er 0.398 -5.804 -0.198
O 2.395 -2.927 -2.756
Li 1.940 -3.404 -0.993
O -0.842 -4.997 -2.035
O -0.482 -8.105 -4.758
S -1.943 -2.422 -5.560
O 1.400 -4.729 -4.170
Er -2.490 -1.204 -2.948
O -3.304 -5.289 -1.738
O -2.730 -3.503 -6.264
O 2.030 -5.092 -1.823
O -2.739 -1.202 -5.293
S -2.046 -4.590 -1.275
```

=====

<two>
A relaxed LiErS2O8 crystal, computed with GGA-PBE.

- density (g/cm3) = 3.726
- DOS(E_F) (states/eV/cell) = 0.00

extended XYZ file:
```
12
Lattice="5.345 0.000 0.000 -2.672 4.629 0.000 0.000 0.000 6.599" Properties=species:S:1:pos:R:3 pbc="T T T"
O 3.886 0.843 1.868
O 2.672 2.944 1.868
S 2.672 1.543 1.324
Er 0.000 0.000 3.299
O 1.213 3.787 4.731
O 0.000 3.086 0.118
O 0.001 1.685 4.731
O 1.459 0.842 1.868
S 0.000 3.086 5.274
Li 0.000 0.000 0.000
O -1.214 3.786 4.731
O 2.672 1.543 6.481
```

=====

<two> is preferred energetically. Next in line: 66 meV per atom higher.

=====

<one>
A relaxed LiErTlO2 crystal, computed with GGA-PBE.

- density (g/cm3) = 7.942
- DOS(E_F) (states/eV/cell) = 1.17

extended XYZ file:
```
5
Lattice="3.406 0.004 0.003 1.688 8.600 -0.006 1.700 0.341 2.932" Properties=species:S:1:pos:R:3 pbc="T T T"
Li 1.823 2.205 0.809
Er 3.522 4.627 1.520
O 1.819 5.435 0.435
Tl 1.808 8.095 0.122
O 5.226 3.386 2.655
```

=====

<two>
A relaxed LiErTlO2 crystal, computed with GGA-PBE.

- density (g/cm3) = 7.245
- DOS(E_F) (states/eV/cell) = 1.26

extended XYZ file:
```
5
Lattice="-0.842 0.787 -3.172 3.121 -9.171 -1.209 -3.202 -0.300 -1.021" Properties=species:S:1:pos:R:3 pbc="T T T"
O -1.981 -3.245 -3.815
Er -0.379 -4.748 -2.816
Li 0.561 -2.756 -0.777
O 1.132 -5.778 -1.678
Tl -1.033 -8.186 -5.271
```

=====

<one> is preferred energetically. Next in line: 39 meV per atom higher.